Entry 1:
This record from Alexandria via LeMat-Bulk describes a relaxed KErGeSe3 crystal. The functional is PBE.

Unit cell a=4.034 b=8.623 c=11.028 alpha=108.88 beta=90.00 gamma=90.00
Sites, in units of the cell vectors:
K 0.750 0.768 0.726
K 0.250 0.232 0.274
Er 0.250 0.637 0.155
Er 0.750 0.363 0.845
Ge 0.250 0.129 0.559
Ge 0.750 0.871 0.441
Se 0.250 0.665 0.423
Se 0.750 0.890 0.220
Se 0.750 0.395 0.107
Se 0.750 0.335 0.577
Se 0.250 0.605 0.893
Se 0.250 0.110 0.780

uncorrected energy = -4.7031 eV per atom
symmetry = P2_1/m (11)
size of the total moment = 0.00 μB/f.u.

Entry 2:
This record from Alexandria via LeMat-Bulk describes a relaxed NiPb2Au crystal. The functional is PBE.

Unit cell a=6.839 b=6.839 c=6.839 alpha=152.44 beta=142.39 gamma=47.26
Sites, in units of the cell vectors:
Au 0.431 0.431 0.000
Ni 0.254 0.754 0.500
Pb 0.052 0.052 0.000
Pb 0.764 0.264 0.500

DFT formation energy = 0.1140 eV per atom
energy above the most stable polymorph in this dataset = 56 meV/atom
symmetry = Imm2 (44)
size of the total moment = 0.00 μB/f.u.

Entry 3:
This record from Alexandria via LeMat-Bulk describes a relaxed TmTh2Ga crystal. The functional is PBE.

Unit cell a=3.985 b=3.985 c=7.112 alpha=90.00 beta=90.00 gamma=90.00
Sites, in units of the cell vectors:
Tm 0.500 0.500 0.500
Ga 0.500 0.500 0.000
Th 0.000 0.000 0.783
Th 0.000 0.000 0.217

DFT formation energy = -0.1239 eV per atom
energy above the most stable polymorph in this dataset = 0 meV/atom
symmetry = P4/mmm (123)
size of the total moment = 0.00 μB/f.u.